Entry 1:
A plane-wave DFT calculation with PBE was carried out for a geometry-optimized KYSbOs2 structure.

```
KYSbOs2
1.0
-1.871 -0.243 4.874
-0.216 -5.791 -0.372
4.877 -0.301 1.856
Y Sb K Os
1 1 1 2
direct
0.000 0.000 0.000 Y
0.000 0.500 0.000 Sb
0.500 0.500 0.500 K
0.000 0.000 0.500 Os
0.500 0.000 0.000 Os
```

Summary:
- Raw formation energy: 1770 meV/atom
- Total DFT energy (no corrections): -5.058 eV per atom
- Volume: 31.725 Å³ per atom
- Magnetic moment: 0.787 μB per atom

***

Entry 2:
A plane-wave DFT calculation with PBE was carried out for a geometry-optimized Ac5ErCd4 structure.

```
Ac5ErCd4
1.0
-3.041 2.625 0.511
-2.452 -3.046 1.054
5.595 2.524 20.309
Ac Er Cd
5 1 4
direct
0.500 0.500 0.113 Ac
0.500 0.500 0.306 Ac
0.500 0.500 0.500 Ac
0.500 0.500 0.694 Ac
0.500 0.500 0.887 Ac
0.000 0.000 0.000 Er
0.000 0.000 0.207 Cd
0.000 0.000 0.404 Cd
0.000 0.000 0.596 Cd
0.000 0.000 0.793 Cd
```

Summary:
- Formation energy: -0.213 eV per atom
- Total DFT energy (no corrections): -3.089 eV per atom
- Volume: 34.797 Å³ per atom
- Magnetic moment: 0.001 μB per atom

***

Entry 3:
A plane-wave DFT calculation with PBE was carried out for a geometry-optimized Ba6Sb2AsBr structure.

```
Ba6Sb2AsBr
1.0
8.068 0.000 0.096
0.000 9.315 0.000
0.203 0.000 11.920
Ba Sb As Br
12 4 2 2
direct
0.325 0.672 0.072 Ba
0.825 0.828 0.572 Ba
0.675 0.328 0.928 Ba
0.175 0.172 0.428 Ba
0.340 0.696 0.427 Ba
0.840 0.804 0.927 Ba
0.660 0.304 0.573 Ba
0.160 0.196 0.073 Ba
0.847 0.549 0.244 Ba
0.347 0.951 0.744 Ba
0.153 0.451 0.756 Ba
0.653 0.049 0.256 Ba
0.056 0.887 0.250 Sb
0.556 0.613 0.750 Sb
0.944 0.113 0.750 Sb
0.444 0.387 0.250 Sb
0.500 0.000 0.500 As
0.000 0.500 0.000 As
0.500 0.000 0.000 Br
0.000 0.500 0.500 Br
```

Summary:
- Raw formation energy: -1103 meV/atom
- Total DFT energy (no corrections): -3.713 eV per atom
- Volume: 44.781 Å³ per atom
- Magnetic moment: 0.192 μB per atom

***

Entry 4:
A plane-wave DFT calculation with PBE was carried out for a geometry-optimized SmGdZn4 structure.

```
SmGdZn4
1.0
-0.403 -5.477 -0.516
3.953 -2.822 -2.613
3.381 -3.295 2.852
Zn Gd Sm
4 1 1
direct
0.625 0.625 0.125 Zn
0.625 0.125 0.625 Zn
0.625 0.625 0.625 Zn
0.125 0.625 0.625 Zn
0.000 0.000 0.000 Gd
0.250 0.250 0.250 Sm
```

Summary:
- Formation energy: -0.334 eV per atom
- Total DFT energy (no corrections): -4.317 eV per atom
- Volume: 19.775 Å³ per atom
- Magnetic moment: 1.177 μB per atom

***

Entry 5:
A plane-wave DFT calculation with PBE was carried out for a geometry-optimized PrSmErTh structure.

```
PrSmErTh
1.0
3.616 0.000 -0.002
-1.807 3.131 0.003
-1.807 -1.055 11.692
Pr Sm Er Th
1 1 1 1
direct
0.966 0.381 0.363 Pr
0.477 0.136 0.627 Sm
0.131 0.964 0.109 Er
0.304 0.550 0.870 Th
```

Summary:
- Formation energy: 0.018 eV per atom
- Total DFT energy (no corrections): -5.353 eV per atom
- Volume: 33.098 Å³ per atom
- Magnetic moment: 0.000 μB per atom

***

Entry 6:
A plane-wave DFT calculation with PBE was carried out for a geometry-optimized TiMoS3 structure.

```
TiMoS3
1.0
-1.576 -0.452 -4.353
2.925 -3.550 -0.690
-3.256 -2.971 1.486
Mo S Ti
1 3 1
direct
0.000 0.000 0.000 Mo
0.000 0.500 0.000 S
0.000 0.000 0.500 S
0.500 0.000 0.000 S
0.500 0.500 0.500 Ti
```

Summary:
- Raw formation energy: 180 meV/atom
- Total DFT energy (no corrections): -6.041 eV per atom
- Volume: 20.130 Å³ per atom
- Magnetic moment: 0.040 μB per atom

***

Entry 7:
A plane-wave DFT calculation with PBE was carried out for a geometry-optimized LiCaNi2 structure.

```
LiCaNi2
1.0
4.805 -0.015 -0.039
1.427 4.589 0.039
-3.096 -2.315 2.855
Ca Li Ni
1 1 2
direct
0.750 0.250 0.500 Ca
0.250 0.750 0.500 Li
0.000 0.000 0.000 Ni
0.500 0.500 0.000 Ni
```

Summary:
- Formation energy: 0.153 eV per atom
- Total DFT energy (no corrections): -3.716 eV per atom
- Volume: 15.756 Å³ per atom
- Magnetic moment: 0.000 μB per atom

***

Entry 8:
A plane-wave DFT calculation with PBE was carried out for a geometry-optimized Pm2Ag3Pd2 structure.

```
Pm2Ag3Pd2
1.0
4.229 0.000 0.000
-2.115 5.053 0.140
0.000 -0.984 7.048
Pm Ag Pd
2 3 2
direct
0.617 0.234 0.329 Pm
0.383 0.766 0.671 Pm
0.307 0.615 0.116 Ag
0.000 0.000 0.000 Ag
0.693 0.385 0.884 Ag
0.097 0.194 0.646 Pd
0.903 0.806 0.354 Pd
```

Summary:
- Formation energy: -0.486 eV per atom
- Total DFT energy (no corrections): -4.549 eV per atom
- Volume: 21.598 Å³ per atom
- Magnetic moment: 0.000 μB per atom